No. 1
VASP calculation (GGA-PBE) on Nd4SbTe2 after structural relaxation.

Output
The crystal system is orthorhombic. As for the uncorrected formation energy: -7.7 eV per formula unit. The calculation puts the size of the total moment at 0.00 μB per cell.

Unit cell a=4.354 b=7.581 c=14.816 alpha=90.00 beta=90.00 gamma=106.69
Fractional coordinates of all 14 atoms:
Nd1 0.944 0.888 0.750
Nd2 0.783 0.567 0.129
Nd3 0.217 0.433 0.629
Nd4 0.500 0.000 0.000
Nd5 0.217 0.433 0.871
Nd6 0.500 0.000 0.500
Nd7 0.056 0.112 0.250
Nd8 0.783 0.567 0.371
Te1 0.142 0.284 0.437
Te2 0.142 0.284 0.063
Te3 0.858 0.716 0.563
Te4 0.858 0.716 0.937
Sb1 0.599 0.199 0.750
Sb2 0.401 0.801 0.250



No. 2
VASP calculation (GGA-PBE) on NpTl2I3Cl3 after structural relaxation.

Output
The crystal system is hexagonal. As for the uncorrected formation energy: -9.1 eV per formula unit. The calculation puts the size of the total moment at 3.10 μB per cell.

Unit cell a=4.204 b=8.938 c=8.938 alpha=120.00 beta=90.00 gamma=90.00
Last column: magnetic moment on the atom in μB.
Fractional coordinates of all 9 atoms:
I1 0.000 0.000 0.379  -0.07
I2 0.000 0.379 0.000  -0.07
I3 0.000 0.621 0.621  -0.07
Cl1 0.500 0.000 0.788  -0.04
Cl2 0.500 0.212 0.212  -0.04
Cl3 0.500 0.788 0.000  -0.04
Tl1 0.500 0.667 0.333  -0.01
Tl2 0.500 0.333 0.667  -0.01
Np1 0.000 0.000 0.000  3.51



No. 3
VASP calculation (GGA-PBE) on YErTcAu after structural relaxation.

Output
The crystal system is cubic. For the formation energy, the calculation gives -0.37 eV per atom. The calculation puts the size of the total moment at 0.00 μB per cell.

Unit cell a=4.939 b=4.939 c=4.939 alpha=60.00 beta=60.00 gamma=60.00
Fractional coordinates of all 4 atoms:
Tc1 0.500 0.500 0.500
Er1 0.250 0.250 0.250
Au1 0.000 0.000 0.000
Y1 0.750 0.750 0.750



No. 4
VASP calculation (GGA-PBE) on TlGa2SbS6 after structural relaxation.

Output
The crystal system is monoclinic. As for the uncorrected formation energy: -3.7 eV per formula unit. The calculation puts the size of the total moment at 0.00 μB per cell.

Unit cell a=6.962 b=8.381 c=8.381 alpha=81.44 beta=78.61 gamma=78.61
Fractional coordinates of all 20 atoms:
S1 0.893 0.372 0.921
S2 0.107 0.628 0.079
S3 0.147 0.989 0.796
S4 0.647 0.796 0.989
S5 0.980 0.697 0.570
S6 0.607 0.079 0.628
S7 0.393 0.921 0.372
S8 0.020 0.303 0.430
S9 0.853 0.011 0.204
S10 0.480 0.570 0.697
S11 0.353 0.204 0.011
S12 0.520 0.430 0.303
Sb1 0.250 0.279 0.721
Sb2 0.750 0.721 0.279
Ga1 0.752 0.614 0.787
Ga2 0.748 0.213 0.386
Ga3 0.252 0.787 0.614
Ga4 0.248 0.386 0.213
Tl1 0.250 0.882 0.118
Tl2 0.750 0.118 0.882



No. 5
VASP calculation (GGA-PBE) on HgTeSe2N after structural relaxation.

Output
The crystal system is tetragonal. As for the uncorrected formation energy: 4.4 eV per formula unit. The calculation puts the size of the total moment at 0.00 μB per cell.

Unit cell a=5.465 b=5.465 c=3.971 alpha=90.00 beta=90.00 gamma=90.00
Fractional coordinates of all 5 atoms:
Se1 0.000 0.500 0.000
Se2 0.500 0.000 0.000
N1 0.000 0.000 0.500
Te1 0.000 0.000 0.000
Hg1 0.500 0.500 0.500



No. 6
VASP calculation (GGA-PBE) on YMg2VIr after structural relaxation.

Output
The crystal system is tetragonal. For the formation energy, the calculation gives 1.97 eV per atom. The calculation puts the size of the total moment at 0.93 μB per cell.

Unit cell a=5.144 b=4.397 c=5.144 alpha=90.00 beta=90.00 gamma=90.00
Last column: magnetic moment on the atom in μB.
Fractional coordinates of all 5 atoms:
Ir1 0.500 0.500 0.500  -0.03
Mg1 0.500 0.000 0.000  0.00
Mg2 0.000 0.000 0.500  0.00
Y1 0.000 0.000 0.000  0.03
V1 0.000 0.500 0.000  0.73